Crystalline Rb2MgRh at its relaxed geometry, computed with PBE.

Unit cell a=12.5507 b=12.5507 c=9.2203 alpha=47.11 beta=47.11 gamma=90.00
Sites, in units of the cell vectors:
Mg  0.2500  0.7500  0.5000
Mg  0.5000  0.5000  0.0000
Rh  0.7500  0.2500  0.5000
Rh  0.0000  0.0000  0.0000
Rb  0.8133  0.1250  0.2500
Rb  0.8750  0.0633  0.7500
Rb  0.9367  0.6250  0.2500
Rb  0.3750  0.1867  0.7500

Results
SG	No. 122
calculated formation energy	1.56	eV per formula unit
density	2514	kg/m³
total magnetization	0.00	μB/cell


Crystalline RbMg3Rh at its relaxed geometry, computed with PBE.

Unit cell a=5.8566 b=5.8566 c=5.8566 alpha=90.00 beta=90.00 gamma=90.00
Sites, in units of the cell vectors:
Mg  0.0000  0.0000  0.5000
Mg  0.0000  0.5000  0.0000
Mg  0.5000  0.0000  0.0000
Rb  0.0000  0.0000  0.0000
Rh  0.5000  0.5000  0.5000

Results
SG	No. 221
calculated formation energy	9.05	eV per formula unit
density	2160	kg/m³
total magnetization	0.00	μB/cell


Crystalline Rb2MgRh2 at its relaxed geometry, computed with PBE.

Unit cell a=4.3964 b=4.3964 c=7.9026 alpha=73.85 beta=73.85 gamma=90.00
Site moments in Bohr magnetons follow the coordinates.
Sites, in units of the cell vectors:
Rb  0.7500  0.2500  0.5000  0.01
Rb  0.2500  0.7500  0.5000  0.01
Mg  0.0000  0.0000  0.0000  -0.01
Rh  0.5828  0.5828  0.8344  0.62
Rh  0.4172  0.4172  0.1656  0.62

Results
SG	No. 139
calculated formation energy	5.04	eV per formula unit
density	4742	kg/m³
total magnetization	1.36	μB/cell


> Which value of total magnetization does entry 2 give?

0.00 μB/cell


> Number 3 is which compound?

Rb2MgRh2


> calculated formation energy of number 1 (Rb2MgRh)?

1.56 eV per formula unit